VASP calculation (PBEsol) on crystalline ZrCd2Si at its relaxed geometry.

a b c (Å): 2.973 5.349 5.563
angles (deg): 113.73 90.00 106.13
Element x y z (fractional)
1 Zr 0.237 0.473 0.650
2 Si 0.495 0.989 0.606
3 Cd 0.765 0.529 0.179
4 Cd 0.004 0.008 0.064

Values from the calculation:
Formation energy (no corrections) ... -0.11 eV per atom
D(E_F) ... 1.68 states/eV/cell
Magnetic moment ... 0.00 μB per formula unit
E ... -4.42 eV/atom
SG ... Cm